1.
## Rb2AlTlI6 (GGA-PBEsol)

Data for a relaxed Rb2AlTlI6 crystal.

The value obtained for the raw formation energy is -88 kJ/mol of atoms. The calculation puts the calculated total energy at -2.848 eV/atom.

The structure belongs to space group Fm-3m (No. 225); the cell edges are 11.915, 11.915 and 11.915 Å and the angles 90.00°, 90.00° and 90.00°. The asymmetric unit holds Rb at (0.250, 0.250, 0.250), Al at (0.000, 0.000, 0.000), Tl at (0.000, 0.000, 0.500) and I at (0.000, 0.000, 0.230).

2.
## AlRhI3 (GGA-PBEsol)

Data for a relaxed AlRhI3 crystal.

The value obtained for the raw formation energy is 68 kJ/mol of atoms. The calculation puts the calculated total energy at -2.801 eV/atom. The density of states at the Fermi level comes out at 9.70 states/eV/cell.

The structure belongs to space group Pm-3m (No. 221); the cell edges are 5.410, 5.410 and 5.410 Å and the angles 90.00°, 90.00° and 90.00°. The asymmetric unit holds Al at (0.000, 0.000, 0.000), Rh at (0.500, 0.500, 0.500) and I at (0.000, 0.000, 0.500).

3.
## AlSbRhI2 (GGA-PBEsol)

Data for a relaxed AlSbRhI2 crystal.

The value obtained for the raw formation energy is 29 kJ/mol of atoms. The calculation puts the calculated total energy at -3.759 eV/atom. The density of states at the Fermi level comes out at 2.38 states/eV/cell.

The structure belongs to space group P4/mmm (No. 123); the cell edges are 5.507, 5.507 and 4.927 Å and the angles 90.00°, 90.00° and 90.00°. The asymmetric unit holds Al at (0.000, 0.000, 0.000), Sb at (0.500, 0.500, 0.000), Rh at (0.500, 0.500, 0.500) and I at (0.000, 0.500, 0.500).

4.
## AlRuI2 (GGA-PBEsol)

Data for a relaxed AlRuI2 crystal.

The value obtained for the raw formation energy is 15 kJ/mol of atoms. The calculation puts the calculated total energy at -4.294 eV/atom. The density of states at the Fermi level comes out at 13.85 states/eV/cell.

The structure belongs to space group I-42d (No. 122); the cell edges are 9.576, 9.576 and 4.779 Å and the angles 90.00°, 90.00° and 90.00°. The asymmetric unit holds Al at (0.000, 0.000, 0.000), Ru at (0.000, 0.000, 0.500) and I at (0.105, 0.750, 0.625).

5.
## AlRuWI2 (GGA-PBEsol)

Data for a relaxed AlRuWI2 crystal.

The value obtained for the raw formation energy is 130 kJ/mol of atoms. The calculation puts the calculated total energy at -4.976 eV/atom. The density of states at the Fermi level comes out at 3.78 states/eV/cell.

The structure belongs to space group P4/mmm (No. 123); the cell edges are 5.376, 5.376 and 4.725 Å and the angles 90.00°, 90.00° and 90.00°. The asymmetric unit holds Al at (0.000, 0.000, 0.000), Ru at (0.500, 0.500, 0.500), W at (0.500, 0.500, 0.000) and I at (0.000, 0.500, 0.500).

6.
## AlSI2 (GGA-PBEsol)

Data for a relaxed AlSI2 crystal.

The value obtained for the raw formation energy is -15 kJ/mol of atoms. The calculation puts the calculated total energy at -3.163 eV/atom. The density of states at the Fermi level comes out at 17.53 states/eV/cell.

The structure belongs to space group I-42d (No. 122); the cell edges are 10.343, 10.343 and 4.518 Å and the angles 90.00°, 90.00° and 90.00°. The asymmetric unit holds Al at (0.000, 0.000, 0.000), S at (0.000, 0.000, 0.500) and I at (0.097, 0.250, 0.125).

7.
## AlSbSI2 (GGA-PBEsol)

Data for a relaxed AlSbSI2 crystal.

The value obtained for the raw formation energy is 16 kJ/mol of atoms. The calculation puts the calculated total energy at -3.145 eV/atom. The density of states at the Fermi level comes out at 0.90 states/eV/cell.

The structure belongs to space group P4/mmm (No. 123); the cell edges are 5.989, 5.989 and 4.967 Å and the angles 90.00°, 90.00° and 90.00°. The asymmetric unit holds Al at (0.000, 0.000, 0.000), Sb at (0.500, 0.500, 0.500), S at (0.500, 0.500, 0.000) and I at (0.000, 0.500, 0.500).

8.
## AlSb2SI (GGA-PBEsol)

Data for a relaxed AlSb2SI crystal.

The value obtained for the raw formation energy is 62 kJ/mol of atoms. The calculation puts the calculated total energy at -3.229 eV/atom. The density of states at the Fermi level comes out at 3.82 states/eV/cell.

The structure belongs to space group P4/mmm (No. 123); the cell edges are 5.269, 5.269 and 5.109 Å and the angles 90.00°, 90.00° and 90.00°. The asymmetric unit holds Al at (0.000, 0.000, 0.000), Sb at (0.000, 0.500, 0.000), S at (0.500, 0.500, 0.500) and I at (0.000, 0.000, 0.500).